The following is a PBE calculation of a relaxed structure of CaAlPPt2, from the Alexandria database.

Calculated values
V = 101.55 Å³ per cell
DFT formation energy = -303 meV/atom

Lattice parameters (Å, degrees): 4.657 4.657 4.682 90.00 90.00 90.00
Space group P4/mmm (No. 123)
Asymmetric unit:
Ca (0.000, 0.000, 0.000) (multiplicity 1)
Al (0.500, 0.500, 0.000) (multiplicity 1)
P (0.500, 0.500, 0.500) (multiplicity 1)
Pt (0.000, 0.500, 0.500) (multiplicity 2)